i) Compound: CuTc3S
Source: Alexandria via LeMat-Bulk
Functional: PBE-GGA
Structure: relaxed

* ρ: 8.05 Mg/m³
* space-group type: Pm-3m (221)

abc: 4.316 4.316 4.316
angles: 90.00 90.00 90.00
Element x y z (fractional)
S 0.000 0.000 0.000
Tc 0.000 0.500 0.000
Tc 0.000 0.000 0.500
Tc 0.500 0.000 0.000
Cu 0.500 0.500 0.500



ii) Compound: CuTc3S
Source: Alexandria via LeMat-Bulk
Functional: PBE-GGA
Structure: relaxed

* ρ: 7.12 Mg/m³
* space-group type: Pm-3m (221)

abc: 4.497 4.497 4.497
angles: 90.00 90.00 90.00
Site moments in Bohr magnetons follow the coordinates.
Element x y z (fractional)
S 0.500 0.500 0.500  -0.08
Tc 0.000 0.500 0.000  0.97
Tc 0.000 0.000 0.500  1.15
Tc 0.500 0.000 0.000  0.78
Cu 0.000 0.000 0.000  0.12



Most stable of them? i).



i) Compound: CuTe2S
Source: Alexandria via LeMat-Bulk
Functional: PBE-GGA
Structure: relaxed

* ρ: 5.96 Mg/m³
* space-group type: R-3m (166)

abc: 9.309 9.309 9.309
angles: 21.84 21.84 21.84
Element x y z (fractional)
S 0.500 0.500 0.500
Te 0.908 0.908 0.908
Te 0.092 0.092 0.092
Cu 0.000 0.000 0.000



ii) Compound: CuTe2S
Source: Alexandria via LeMat-Bulk
Functional: PBE-GGA
Structure: relaxed

* ρ: 5.16 Mg/m³
* space-group type: I-42d (122)

abc: 5.705 5.705 8.022
angles: 69.17 69.17 90.00
Element x y z (fractional)
S 0.500 0.500 0.000
S 0.250 0.750 0.500
Te 0.650 0.125 0.250
Te 0.100 0.625 0.250
Te 0.375 0.350 0.750
Te 0.875 0.900 0.750
Cu 0.000 0.000 0.000
Cu 0.750 0.250 0.500



Most stable of them? ii).



i) Compound: CuTeS2
Source: Alexandria via LeMat-Bulk
Functional: PBE-GGA
Structure: relaxed

* ρ: 5.95 Mg/m³
* space-group type: Fm-3m (225)

abc: 4.653 4.653 4.653
angles: 60.00 60.00 60.00
Element x y z (fractional)
S 0.250 0.250 0.250
S 0.750 0.750 0.750
Te 0.500 0.500 0.500
Cu 0.000 0.000 0.000



ii) Compound: CuTeS2
Source: Alexandria via LeMat-Bulk
Functional: PBE-GGA
Structure: relaxed

* ρ: 4.67 Mg/m³
* space-group type: P1 (1)

abc: 3.673 3.674 6.721
angles: 90.03 89.81 89.98
Element x y z (fractional)
Cu 0.768 0.797 0.695
Te 0.267 0.295 0.195
S 0.767 0.296 0.505
S 0.266 0.796 0.885



Most stable of them? ii).



i) Compound: CuTeS2
Source: Alexandria via LeMat-Bulk
Functional: PBE-GGA
Structure: relaxed

* ρ: 3.81 Mg/m³
* space-group type: R-3m (166)

abc: 7.087 7.087 7.087
angles: 36.24 36.24 36.24
Element x y z (fractional)
S 0.893 0.893 0.893
S 0.107 0.107 0.107
Te 0.500 0.500 0.500
Cu 0.000 0.000 0.000



ii) Compound: CuTeS2
Source: Alexandria via LeMat-Bulk
Functional: PBE-GGA
Structure: relaxed

* ρ: 4.97 Mg/m³
* space-group type: I-42d (122)

abc: 6.422 6.422 6.143
angles: 58.49 58.49 90.00
Element x y z (fractional)
S 0.573 0.125 0.250
S 0.177 0.625 0.250
S 0.375 0.427 0.750
S 0.875 0.823 0.750
Te 0.000 0.000 0.000
Te 0.750 0.250 0.500
Cu 0.500 0.500 0.000
Cu 0.250 0.750 0.500



Most stable of them? ii).



i) Compound: CuTeS3
Source: Alexandria via LeMat-Bulk
Functional: PBE-GGA
Structure: relaxed

* ρ: 4.07 Mg/m³
* space-group type: P1 (1)

abc: 4.654 7.327 7.897
angles: 96.14 84.09 62.85
Element x y z (fractional)
Cu 0.391 0.828 0.084
Cu 0.306 0.141 0.290
Te 0.646 0.678 0.520
Te 0.052 0.292 0.853
S 0.758 0.907 0.759
S 0.947 0.152 0.104
S 0.203 0.399 0.496
S 0.495 0.570 0.876
S 0.940 0.063 0.614
S 0.750 0.817 0.269



ii) Compound: CuTeS3
Source: Alexandria via LeMat-Bulk
Functional: PBE-GGA
Structure: relaxed

* ρ: 4.41 Mg/m³
* space-group type: P-6c2 (188)

abc: 6.428 6.235 6.235
angles: 120.00 90.00 90.00
Element x y z (fractional)
Cu 0.000 0.000 0.000
Cu 0.500 0.000 0.000
Te 0.500 0.667 0.333
Te 0.000 0.667 0.333
S 0.750 0.313 0.302
S 0.750 0.989 0.687
S 0.750 0.698 0.011
S 0.250 0.698 0.687
S 0.250 0.313 0.011
S 0.250 0.989 0.302



Most stable of them? i).



i) Compound: Cu3TeS
Source: Alexandria via LeMat-Bulk
Functional: PBE-GGA
Structure: relaxed

* ρ: 5.09 Mg/m³
* space-group type: Pm-3m (221)

abc: 4.852 4.852 4.852
angles: 90.00 90.00 90.00
Element x y z (fractional)
S 0.500 0.500 0.500
Te 0.000 0.000 0.000
Cu 0.000 0.500 0.000
Cu 0.000 0.000 0.500
Cu 0.500 0.000 0.000



ii) Compound: Cu3TeS
Source: Alexandria via LeMat-Bulk
Functional: PBE-GGA
Structure: relaxed

* ρ: 6.52 Mg/m³
* space-group type: Ama2 (40)

abc: 3.845 5.539 8.820
angles: 108.30 90.00 90.00
Element x y z (fractional)
Cu 0.750 0.065 0.885
Cu 0.750 0.525 0.103
Cu 0.750 0.264 0.636
Cu 0.250 0.422 0.897
Cu 0.250 0.180 0.115
Cu 0.250 0.627 0.364
Te 0.250 0.955 0.648
Te 0.750 0.307 0.352
S 0.250 0.788 0.162
S 0.750 0.626 0.838



iii) Compound: Cu3TeS
Source: Alexandria via LeMat-Bulk
Functional: PBE-GGA
Structure: relaxed

* ρ: 6.42 Mg/m³
* space-group type: Pm-3m (221)

abc: 4.492 4.492 4.492
angles: 90.00 90.00 90.00
Element x y z (fractional)
S 0.000 0.000 0.000
Te 0.500 0.500 0.500
Cu 0.000 0.500 0.000
Cu 0.000 0.000 0.500
Cu 0.500 0.000 0.000



iv) Compound: Cu3TeS
Source: Alexandria via LeMat-Bulk
Functional: PBE-GGA
Structure: relaxed

* ρ: 5.65 Mg/m³
* space-group type: P2_1/m (11)

abc: 4.096 5.360 9.399
angles: 93.71 90.00 90.00
Element x y z (fractional)
Cu 0.250 0.069 0.278
Cu 0.250 0.560 0.321
Cu 0.750 0.931 0.722
Cu 0.750 0.440 0.679
Cu 0.750 0.820 0.198
Cu 0.250 0.180 0.802
Te 0.750 0.276 0.401
Te 0.250 0.724 0.599
S 0.750 0.251 0.888
S 0.250 0.749 0.112



Most stable of them? iv).



i) Compound: TiCu2S4
Source: Alexandria via LeMat-Bulk
Functional: PBE-GGA
Structure: relaxed

* ρ: 3.97 Mg/m³
* space-group type: Imma (74)

abc: 6.655 7.294 7.294
angles: 56.87 62.86 62.86
Element x y z (fractional)
Ti 0.000 0.500 0.000
Ti 0.500 0.500 0.000
Cu 0.101 0.149 0.649
Cu 0.500 0.000 0.000
Cu 0.500 0.500 0.500
Cu 0.899 0.851 0.351
S 0.231 0.276 0.262
S 0.231 0.762 0.776
S 0.258 0.270 0.770
S 0.702 0.270 0.770
S 0.298 0.730 0.230
S 0.769 0.238 0.224
S 0.742 0.730 0.230
S 0.769 0.724 0.738



ii) Compound: TiCu2S4
Source: Alexandria via LeMat-Bulk
Functional: PBE-GGA
Structure: relaxed

* ρ: 3.85 Mg/m³
* space-group type: I4/mmm (139)

abc: 4.783 4.783 6.636
angles: 68.88 68.88 90.00
Site moments in Bohr magnetons follow the coordinates.
Element x y z (fractional)
S 0.207 0.207 0.587  0.24
S 0.793 0.793 0.413  0.24
S 0.000 0.500 0.000  0.08
S 0.500 0.000 0.000  0.08
Cu 0.396 0.396 0.209  0.06
Cu 0.604 0.604 0.791  0.06
Ti 0.000 0.000 0.000  -0.06



Most stable of them? i).



i) Compound: Ti3CuS
Source: Alexandria via LeMat-Bulk
Functional: PBE-GGA
Structure: relaxed

* ρ: 4.07 Mg/m³
* space-group type: Pm-3m (221)

abc: 4.604 4.604 4.604
angles: 90.00 90.00 90.00
Site moments in Bohr magnetons follow the coordinates.
Element x y z (fractional)
S 0.500 0.500 0.500  -0.02
Cu 0.000 0.000 0.000  0.04
Ti 0.000 0.500 0.000  0.63
Ti 0.000 0.000 0.500  0.61
Ti 0.500 0.000 0.000  0.74



ii) Compound: Ti3CuS
Source: Alexandria via LeMat-Bulk
Functional: PBE-GGA
Structure: relaxed

* ρ: 4.50 Mg/m³
* space-group type: Pm-3m (221)

abc: 4.451 4.451 4.451
angles: 90.00 90.00 90.00
Element x y z (fractional)
S 0.000 0.000 0.000
Cu 0.500 0.500 0.500
Ti 0.000 0.500 0.000
Ti 0.000 0.000 0.500
Ti 0.500 0.000 0.000



Most stable of them? ii).